HfAlPtRh | PBE | optimized geometry

Computed properties:
Energy relative to the elements in eV per atom: -1.01
Total DFT energy (no corrections) in eV/cell: -31.11
V in Å³/cell: 64.9
Space group: F-43m (216)

Cell lengths 4.5111, 4.5111, 4.5111 Å; angles 60.00, 60.00, 60.00 degrees
Fractional positions:
Al 0.0000 0.0000 0.0000
Hf 0.5000 0.5000 0.5000
Rh 0.2500 0.2500 0.2500
Pt 0.7500 0.7500 0.7500

---

RbNa5Se3 | PBE | optimized geometry

Computed properties:
Total DFT energy (no corrections) in eV/cell: -54.61
Formation energy from raw total energies in eV/atom: -1.032
V in Å³/cell: 512.8
Space group: Cmcm (63)

Cell lengths 4.7507, 8.3059, 13.5622 Å; angles 90.00, 90.00, 106.62 degrees
Fractional positions:
Na 0.1945 0.3890 0.5679
Na 0.8055 0.6110 0.0679
Na 0.0000 0.0000 0.0000
Na 0.1945 0.3890 0.9321
Na 0.0000 0.0000 0.5000
Na 0.4556 0.9112 0.1394
Na 0.8055 0.6110 0.4321
Na 0.5444 0.0888 0.8606
Na 0.5444 0.0888 0.6394
Na 0.4556 0.9112 0.3606
Se 0.6250 0.2501 0.0496
Se 0.6250 0.2501 0.4504
Se 0.3750 0.7499 0.5496
Se 0.0858 0.1716 0.7500
Se 0.3750 0.7499 0.9504
Se 0.9142 0.8284 0.2500
Rb 0.8529 0.7059 0.7500
Rb 0.1471 0.2941 0.2500

---

RuAuS2N | PBE | optimized geometry

Computed properties:
Total DFT energy (no corrections) in eV/cell: -25.90
Formation energy from raw total energies in eV/atom: 0.647
V in Å³/cell: 84.8
Space group: P4/mmm (123)

Cell lengths 4.8312, 4.8312, 3.6345 Å; angles 90.00, 90.00, 90.00 degrees
Fractional positions:
Ru 0.0000 0.0000 0.0000
S 0.5000 0.0000 0.0000
S 0.0000 0.5000 0.0000
Au 0.5000 0.5000 0.5000
N 0.0000 0.0000 0.5000